Below is a relaxed La3Tb2HoSb6 crystal, with properties calculated at the PBE level.

Lattice parameters (Å, degrees): 7.8211 13.5434 7.7956 90.00 109.52 90.00
Space group C2/m (No. 12)
Asymmetric unit:
La 0.0000 0.0000 0.0000 (multiplicity 2)
La 0.0000 0.3329 0.0000 (multiplicity 4)
Tb 0.0000 0.1664 0.5000 (multiplicity 4)
Ho 0.0000 0.5000 0.5000 (multiplicity 2)
Sb 0.2449 0.3339 0.7368 (multiplicity 8)
Sb 0.2471 0.0000 0.7374 (multiplicity 4)

Values from the calculation:
Calculated density ... 6.956 g/cm3
Raw formation energy ... -1.20 eV/atom
E ... -135.6 eV/cell